Entry 1:
PBE-GGA Ac8NiRh3I3, optimized geometry; DFT total energy = -5.194 eV per atom; ΔE_f (raw) = -0.84 eV per atom; ρ = 7.447 g cm⁻³
1.0
8.7486 0.0000 0.0000
-4.3743 7.5699 -0.0279
0.0000 -5.0129 8.6513
Rh Ac Ni I
3 8 1 3
direct
0.0000 0.5000 0.5000
0.5000 0.5000 0.5000
0.5000 0.0000 0.5000
0.2709 0.5418 0.3131
0.2267 0.4533 0.6819
0.7733 0.5467 0.3180
0.7282 0.9556 0.6828
0.7726 0.0444 0.3172
0.7291 0.4582 0.6869
0.2274 0.9556 0.6828
0.2718 0.0444 0.3172
0.0000 0.0000 0.5000
0.0000 0.5000 0.0000
0.5000 0.5000 0.0000
0.0000 0.0000 0.0000

***

Entry 2:
PBE-GGA Hg2MoPb, optimized geometry; DFT total energy = -3.184 eV per atom; formation enthalpy at 0 K = 13.87 kcal/mol of atoms; ρ = 13.398 g cm⁻³
1.0
-0.6066 3.4596 1.2047
0.4344 -1.1426 3.5000
6.2115 1.2189 -0.3730
Hg Mo Pb
2 1 1
direct
0.0000 0.0000 0.0168
0.5000 0.5000 0.2575
0.0000 0.0000 0.5064
0.5000 0.5000 0.7193

***

Entry 3:
PBE-GGA CoTe4Mo, optimized geometry; DFT total energy = -3.660 eV per atom; ΔE_f (raw) = 1.42 eV per atom; ρ = 6.428 g cm⁻³
1.0
0.0000 4.4127 4.4127
4.4127 0.0000 4.4127
4.4127 4.4127 0.0000
Co Te Mo
1 4 1
direct
0.7500 0.7500 0.7500
0.8743 0.3752 0.3752
0.3752 0.8743 0.3752
0.3752 0.3752 0.3752
0.3752 0.3752 0.8743
0.0000 0.0000 0.0000

***

Entry 4:
PBE-GGA PrHoTmCu, optimized geometry; DFT total energy = -4.592 eV per atom; formation enthalpy at 0 K = -2.55 kcal/mol of atoms; ρ = 8.356 g cm⁻³
1.0
3.5033 0.0000 0.0000
0.0000 3.5033 0.0000
0.0000 0.0000 8.7166
Ho Cu Tm Pr
1 1 1 1
direct
0.5000 0.5000 0.7620
0.0000 0.0000 0.5669
0.5000 0.5000 0.3822
0.0000 0.0000 0.0737

***

Entry 5:
PBE-GGA Hg2SeO5, optimized geometry; DFT total energy = -4.092 eV per atom; ΔE_f (raw) = -0.48 eV per atom; ρ = 6.965 g cm⁻³
1.0
7.3329 0.0000 0.0000
0.0000 9.7700 0.0515
0.0000 -4.7450 14.8870
Hg O Se
16 40 8
direct
0.6457 0.3767 0.8909
0.6058 0.6726 0.3606
0.1058 0.3274 0.1394
0.8930 0.3252 0.6419
0.3579 0.9970 0.3778
0.1457 0.6233 0.6091
0.8543 0.3767 0.3909
0.1421 0.9970 0.8778
0.8942 0.6726 0.8606
0.6421 0.0030 0.6222
0.3930 0.6748 0.8581
0.3942 0.3274 0.6394
0.6070 0.3252 0.1419
0.8579 0.0030 0.1222
0.1070 0.6748 0.3581
0.3543 0.6233 0.1091
0.6431 0.5677 0.8541
0.9730 0.0584 0.6197
0.1166 0.2290 0.9350
0.2361 0.9443 0.7111
0.2725 0.5004 0.4459
0.8895 0.2115 0.4533
0.8569 0.5677 0.3541
0.7639 0.0557 0.2889
0.1764 0.0279 0.0628
0.8834 0.7710 0.0650
0.3834 0.2290 0.4350
0.7275 0.4996 0.5541
0.9672 0.3716 0.8231
0.6406 0.2364 0.6601
0.3594 0.7636 0.3399
0.4730 0.9416 0.8803
0.8594 0.2364 0.1601
0.7725 0.4996 0.0541
0.2275 0.5004 0.9459
0.0328 0.6284 0.1769
0.1431 0.4323 0.6459
0.1105 0.7885 0.5467
0.8264 0.7208 0.7004
0.6764 0.9721 0.4372
0.3236 0.0279 0.5628
0.0270 0.9416 0.3803
0.4672 0.6284 0.6769
0.2639 0.9443 0.2111
0.3895 0.7885 0.0467
0.5270 0.0584 0.1197
0.6105 0.2115 0.9533
0.3264 0.2792 0.7996
0.6736 0.7208 0.2004
0.5328 0.3716 0.3231
0.1736 0.2792 0.2996
0.6166 0.7710 0.5650
0.1406 0.7636 0.8399
0.8236 0.9721 0.9372
0.3569 0.4323 0.1459
0.7361 0.0557 0.7889
0.6606 0.6552 0.6265
0.3391 0.9599 0.1146
0.8391 0.0401 0.3854
0.1606 0.3448 0.8735
0.1609 0.9599 0.6146
0.6609 0.0401 0.8854
0.3394 0.3448 0.3735
0.8394 0.6552 0.1265

***

Entry 6:
PBE-GGA Sr2GaIrI, optimized geometry; DFT total energy = -4.034 eV per atom; ΔE_f (raw) = -0.67 eV per atom; ρ = 5.559 g cm⁻³
1.0
-2.9934 1.5628 -4.8889
-4.0707 -4.1701 1.1593
-2.5110 3.1593 2.5474
Ga Sr Ir I
1 2 1 1
direct
0.0000 0.0000 0.5000
0.0000 0.5000 0.0000
0.5000 0.0000 0.0000
0.0000 0.0000 0.0000
0.5000 0.5000 0.5000

***

Entry 7:
PBE-GGA MgMn2Zn2, optimized geometry; DFT total energy = -4.399 eV per atom; formation enthalpy at 0 K = 2.25 kcal/mol of atoms; ρ = 5.759 g cm⁻³
1.0
7.2449 0.0000 0.0000
0.0000 7.2449 0.0000
0.0000 0.0000 2.9113
Zn Mg Mn
4 2 4
direct
0.1266 0.3734 0.0000
0.8734 0.6266 0.0000
0.3734 0.8734 0.0000
0.6266 0.1266 0.0000
0.0000 0.0000 0.0000
0.5000 0.5000 0.0000
0.1706 0.6706 0.5000
0.6706 0.8294 0.5000
0.8294 0.3294 0.5000
0.3294 0.1706 0.5000

***

Entry 8:
PBE-GGA AcTb3Pm6, optimized geometry; DFT total energy = -4.520 eV per atom; formation enthalpy at 0 K = 3.01 kcal/mol of atoms; ρ = 7.486 g cm⁻³
1.0
6.5488 0.0000 0.0000
0.0000 10.6117 -5.3245
0.0000 -2.9151 11.5091
Pm Tb Ac
12 6 2
direct
0.7524 0.0097 0.9903
0.8373 0.8909 0.4540
0.0781 0.7378 0.6202
0.3053 0.6985 0.3015
0.3373 0.1091 0.5460
0.8053 0.3015 0.6985
0.5781 0.6202 0.7378
0.5781 0.2622 0.3798
0.2524 0.9903 0.0097
0.0781 0.3798 0.2622
0.3373 0.4540 0.8909
0.8373 0.5460 0.1091
0.4908 0.9559 0.6975
0.4908 0.3025 0.0441
0.9908 0.0441 0.3025
0.1054 0.4189 0.5811
0.9908 0.6975 0.9559
0.6054 0.5811 0.4189
0.0099 0.1528 0.8472
0.5099 0.8472 0.1528

***

Entry 9:
PBE-GGA VCd2B, optimized geometry; DFT total energy = -3.668 eV per atom; formation enthalpy at 0 K = 17.03 kcal/mol of atoms; ρ = 6.733 g cm⁻³
1.0
7.9379 0.0000 0.0000
0.0000 7.9379 0.0000
3.9690 3.9690 2.2432
Cd V B
4 2 2
direct
0.3750 0.4787 0.7500
0.5213 0.1250 0.2500
0.8750 0.7713 0.7500
0.2287 0.6250 0.2500
0.7500 0.2500 0.5000
0.0000 0.0000 0.0000
0.2500 0.7500 0.5000
0.5000 0.5000 0.0000

***

Entry 10:
PBE-GGA Ho2Tm5Tc2Ag, optimized geometry; DFT total energy = -5.639 eV per atom; formation enthalpy at 0 K = -2.98 kcal/mol of atoms; ρ = 9.689 g cm⁻³
1.0
-3.5551 0.4566 -1.6392
-4.8310 -0.9416 10.2151
0.7917 11.2233 1.4090
Tm Ho Tc Ag
10 4 4 2
direct
0.5000 0.9293 0.2088
0.5000 0.0707 0.7912
0.5000 0.4293 0.2912
0.5000 0.7088 0.4293
0.5000 0.5000 0.0000
0.5000 0.5707 0.7088
0.5000 0.7912 0.9293
0.5000 0.2912 0.5707
0.5000 0.0000 0.5000
0.5000 0.2088 0.0707
0.0000 0.1744 0.3256
0.0000 0.3256 0.8256
0.0000 0.6744 0.1744
0.0000 0.8256 0.6744
0.0000 0.8735 0.3735
0.0000 0.3735 0.1265
0.0000 0.1265 0.6265
0.0000 0.6265 0.8735
0.0000 0.5000 0.5000
0.0000 0.0000 0.0000

***

Entry 11:
PBE-GGA YIn2Bi2, optimized geometry; DFT total energy = -4.077 eV per atom; formation enthalpy at 0 K = -3.14 kcal/mol of atoms; ρ = 7.948 g cm⁻³
1.0
8.2232 0.0000 0.0000
0.0000 8.2232 0.0000
0.0000 0.0000 4.5512
Bi In Y
4 4 2
direct
0.1418 0.3582 0.0000
0.3582 0.8582 0.0000
0.6418 0.1418 0.0000
0.8582 0.6418 0.0000
0.3329 0.1671 0.5000
0.6671 0.8329 0.5000
0.1671 0.6671 0.5000
0.8329 0.3329 0.5000
0.0000 0.0000 0.0000
0.5000 0.5000 0.0000

***

Entry 12:
PBE-GGA CdGeW2, optimized geometry; DFT total energy = -6.881 eV per atom; formation enthalpy at 0 K = 22.57 kcal/mol of atoms; ρ = 12.506 g cm⁻³
1.0
-2.7784 -4.7316 -5.0022
-3.7835 -3.4576 5.3721
-5.3440 -2.4596 -0.2157
W Cd Ge
4 2 2
direct
0.3750 0.4165 0.7500
0.1665 0.6250 0.2500
0.8750 0.8335 0.7500
0.5835 0.1250 0.2500
0.0000 0.0000 0.0000
0.7500 0.2500 0.5000
0.2500 0.7500 0.5000
0.5000 0.5000 0.0000

***

Entry 13:
PBE-GGA NbIr3O, optimized geometry; DFT total energy = -7.830 eV per atom; ΔE_f (raw) = 0.49 eV per atom; ρ = 15.662 g cm⁻³
1.0
4.1733 0.0000 0.0000
0.0000 4.1733 0.0000
0.0000 0.0000 4.1733
Ir O Nb
3 1 1
direct
0.0000 0.0000 0.5000
0.0000 0.5000 0.0000
0.5000 0.0000 0.0000
0.0000 0.0000 0.0000
0.5000 0.5000 0.5000

***

Entry 14:
PBE-GGA Ho3Er6Tm2Mg, optimized geometry; DFT total energy = -4.270 eV per atom; formation enthalpy at 0 K = 0.79 kcal/mol of atoms; ρ = 8.576 g cm⁻³
1.0
-4.2166 -4.2756 0.7662
5.4530 -1.4791 -2.1735
3.3143 0.1522 11.0464
Er Tm Ho Mg
6 2 3 1
direct
0.9181 0.5847 0.7525
0.5847 0.9181 0.7525
0.0819 0.4153 0.2475
0.7481 0.7481 0.2485
0.4153 0.0819 0.2475
0.2519 0.2519 0.7515
0.3338 0.6662 0.0000
0.6662 0.3338 0.0000
0.1660 0.8340 0.5000
0.5000 0.5000 0.5000
0.8340 0.1660 0.5000
0.0000 0.0000 0.0000

***

Entry 15:
PBE-GGA As2WSe, optimized geometry; DFT total energy = -6.212 eV per atom; ΔE_f (raw) = 0.22 eV per atom; ρ = 9.167 g cm⁻³
1.0
-3.3282 4.9012 -6.1247
-5.9392 4.3086 -4.3327
-3.9319 6.6925 -3.5158
W As Se
1 2 1
direct
0.7500 0.7500 0.7500
0.0113 0.0113 0.0113
0.4887 0.4887 0.4887
0.2500 0.2500 0.2500

***

Entry 16:
PBE-GGA HfPa2TiN6, optimized geometry; DFT total energy = -10.241 eV per atom; ΔE_f (raw) = -1.56 eV per atom; ρ = 9.718 g cm⁻³
1.0
-3.2830 -0.3587 -4.5947
-5.4487 -1.4347 0.5210
-4.0743 3.9935 -0.8848
N Pa Ti Hf
6 2 1 1
direct
0.1130 0.4453 0.7576
0.5972 0.1864 0.2534
0.4453 0.6841 0.7576
0.6841 0.1130 0.7576
0.9631 0.5972 0.2534
0.1864 0.9631 0.2534
0.5287 0.5287 0.4138
0.0303 0.0303 0.9092
0.3066 0.3066 0.0802
0.8069 0.8069 0.5792

***

Entry 17:
PBE-GGA Sc3Mn, optimized geometry; DFT total energy = -6.800 eV per atom; formation enthalpy at 0 K = 5.56 kcal/mol of atoms; ρ = 3.651 g cm⁻³
1.0
3.0883 0.0000 0.0000
-1.0294 5.6812 0.0000
1.0294 2.8406 4.9201
Sc Mn
3 1
direct
0.5000 0.0000 0.5000
0.0000 0.5000 0.5000
0.5000 0.5000 0.0000
0.0000 0.0000 0.0000

***

Entry 18:
PBE-GGA PmHoTm3, optimized geometry; DFT total energy = -4.468 eV per atom; formation enthalpy at 0 K = 1.85 kcal/mol of atoms; ρ = 8.647 g cm⁻³
1.0
-8.5321 2.9580 -3.4218
1.3658 -2.3046 -5.3977
-0.7544 -5.2035 2.0308
Tm Ho Pm
6 2 2
direct
0.0092 0.4687 0.7539
0.2058 0.0039 0.8533
0.4000 0.8735 0.4502
0.9908 0.9687 0.2461
0.7942 0.5039 0.1467
0.6000 0.3735 0.5498
0.4104 0.5175 0.9549
0.5896 0.0175 0.0451
0.7863 0.8865 0.6437
0.2137 0.3865 0.3563

***

Entry 19:
PBE-GGA LiCa2ErTe4, optimized geometry; DFT total energy = -4.316 eV per atom; ΔE_f (raw) = -1.43 eV per atom; ρ = 5.204 g cm⁻³
1.0
-0.5589 1.5715 4.1058
-5.7021 -4.9441 1.1162
6.5451 -3.2724 2.1435
Li Ca Te Er
1 2 4 1
direct
0.5000 0.5000 0.0000
0.5000 0.0000 0.5000
0.0000 0.5000 0.5000
0.5000 0.7522 0.7641
0.5000 0.2478 0.2359
0.0000 0.2522 0.7617
0.0000 0.7478 0.2383
0.0000 0.0000 0.0000

***

Entry 20:
PBE-GGA SbS2N2, optimized geometry; DFT total energy = -4.401 eV per atom; ΔE_f (raw) = 1.40 eV per atom; ρ = 5.334 g cm⁻³
1.0
-2.6407 0.4549 2.6621
-2.3813 -2.1484 -1.9951
1.5743 -3.7978 2.2106
N S Sb
2 2 1
direct
0.0000 0.5000 0.0000
0.5000 0.0000 0.0000
0.0000 0.0000 0.0000
0.0000 0.0000 0.5000
0.5000 0.5000 0.5000